Entry 1:
First-principles (PBE-GGA) data for a relaxed Nd2Zn4CuPd3 crystal, as listed in Alexandria via LeMat-Bulk.

Cell: 4.248 4.248 10.611 Å, 90.00 90.00 90.00°
Fractional coordinates of all 10 atoms:
Nd  0.500  0.000  0.254
Nd  0.000  0.500  0.746
Zn  0.500  0.500  0.000
Zn  0.000  0.000  0.000
Zn  0.500  0.000  0.627
Zn  0.000  0.500  0.373
Cu  0.500  0.500  0.500
Pd  0.000  0.000  0.500
Pd  0.500  0.000  0.863
Pd  0.000  0.500  0.137

## Properties
- ΔE_f (kJ/mol of formula units) = -491
- M_tot (μB per cell) = 0.00
- space group = P-4m2 (115)
- uncorrected energy (hartree per atom) = -0.1448



Entry 2:
First-principles (PBE-GGA) data for a relaxed DyHCl2 crystal, as listed in Alexandria via LeMat-Bulk.

Cell: 3.751 3.751 7.400 Å, 75.95 75.95 60.00°
Fractional coordinates of all 4 atoms:
Dy  0.792  0.792  0.625
H  0.458  0.458  0.625
Cl  0.046  0.046  0.872
Cl  0.204  0.204  0.378

## Properties
- M_tot (μB per cell) = 0.00
- space group = Cm (8)
- uncorrected energy (hartree per atom) = -0.1726



Entry 3:
First-principles (PBE-GGA) data for a relaxed Sr2LiCd4Sn3 crystal, as listed in Alexandria via LeMat-Bulk.

Cell: 4.683 4.683 12.584 Å, 90.00 90.00 90.00°
Fractional coordinates of all 10 atoms:
Sr  0.500  0.000  0.247
Sr  0.000  0.500  0.753
Li  0.500  0.500  0.500
Cd  0.500  0.500  0.000
Cd  0.000  0.000  0.000
Cd  0.500  0.000  0.632
Cd  0.000  0.500  0.368
Sn  0.000  0.000  0.500
Sn  0.500  0.000  0.857
Sn  0.000  0.500  0.143

## Properties
- ΔE_f (kJ/mol of formula units) = -349
- M_tot (μB per cell) = 0.00
- space group = P-4m2 (115)
- uncorrected energy (hartree per atom) = -0.0903



Entry 4:
First-principles (PBE-GGA) data for a relaxed BaSrPtPbCl crystal, as listed in Alexandria via LeMat-Bulk.

Cell: 4.833 6.147 6.786 Å, 90.00 110.60 90.00°
Fractional coordinates of all 5 atoms:
Pb  0.266  0.500  0.058
Sr  0.661  0.000  0.853
Ba  0.981  0.500  0.493
Pt  0.675  0.500  0.874
Cl  0.012  0.000  0.552

## Properties
- relative energy among the computed polymorphs (meV per atom) = 111
- M_tot (μB per cell) = 0.00
- energy relative to the elements, uncorrected (eV per formula unit) = -5.4
- space group = Pm (6)
- uncorrected energy (hartree per atom) = -0.1513



Entry 5:
First-principles (PBE-GGA) data for a relaxed AcLa2PrAs4 crystal, as listed in Alexandria via LeMat-Bulk.

Cell: 4.407 7.626 7.631 Å, 70.57 90.00 90.00°
Fractional coordinates of all 8 atoms:
Ac  0.500  0.500  0.000
La  0.000  0.000  0.000
La  0.500  0.000  0.500
Pr  0.000  0.500  0.500
As  0.000  0.756  0.742
As  0.000  0.244  0.258
As  0.500  0.752  0.255
As  0.500  0.248  0.745

## Properties
- ΔE_f (kJ/mol of formula units) = -1175
- M_tot (μB per cell) = 0.00
- space group = P2/m (10)
- uncorrected energy (hartree per atom) = -0.2275



Entry 6:
First-principles (PBE-GGA) data for a relaxed CeIrRh4 crystal, as listed in Alexandria via LeMat-Bulk.

Cell: 3.954 6.587 7.875 Å, 90.00 90.00 90.00°
Fractional coordinates of all 12 atoms:
Ce  0.000  0.651  0.750
Ce  0.000  0.349  0.250
Ir  0.000  0.255  0.750
Ir  0.000  0.745  0.250
Rh  0.000  0.000  0.500
Rh  0.000  0.000  0.000
Rh  0.500  0.964  0.750
Rh  0.500  0.036  0.250
Rh  0.500  0.701  0.037
Rh  0.500  0.299  0.963
Rh  0.500  0.701  0.463
Rh  0.500  0.299  0.537

## Properties
- ΔE_f (kJ/mol of formula units) = -125
- M_tot (μB per cell) = 0.00
- space group = Pmma (51)
- uncorrected energy (hartree per atom) = -0.2787



Entry 7:
First-principles (PBE-GGA) data for a relaxed KLa2I crystal, as listed in Alexandria via LeMat-Bulk.

Cell: 5.879 5.879 5.879 Å, 60.00 60.00 60.00°
Fractional coordinates of all 4 atoms:
I  0.500  0.500  0.500
K  0.000  0.000  0.000
La  0.250  0.250  0.250
La  0.750  0.750  0.750

## Properties
- relative energy among the computed polymorphs (meV per atom) = 126
- M_tot (μB per cell) = 0.00
- energy relative to the elements, uncorrected (eV per formula unit) = 0.4
- space group = Fm-3m (225)
- uncorrected energy (hartree per atom) = -0.1113



Entry 8:
First-principles (PBE-GGA) data for a relaxed Rb2MgUS5 crystal, as listed in Alexandria via LeMat-Bulk.

Cell: 4.076 9.793 14.504 Å, 90.00 90.00 102.01°
Fractional coordinates of all 18 atoms:
Rb  0.873  0.746  0.811
Rb  0.092  0.184  0.666
Rb  0.127  0.254  0.311
Rb  0.908  0.816  0.166
Mg  0.572  0.144  0.937
Mg  0.428  0.856  0.437
U  0.785  0.569  0.524
U  0.215  0.431  0.024
S  0.341  0.681  0.001
S  0.703  0.407  0.907
S  0.507  0.013  0.801
S  0.278  0.557  0.638
S  0.920  0.839  0.538
S  0.659  0.319  0.501
S  0.297  0.593  0.407
S  0.493  0.987  0.301
S  0.722  0.443  0.138
S  0.080  0.161  0.038

## Properties
- M_tot (μB per cell) = 1.39
- energy relative to the elements, uncorrected (eV per formula unit) = -10.8
- space group = Cmc2_1 (36)
- uncorrected energy (hartree per atom) = -0.1889